DFT (PBE-GGA) results for a relaxed structure of BeFeAgI2.

a b c (Å): 5.094 5.094 5.094
angles (deg): 90.00 90.00 90.00
Element x y z (fractional)
1 Be 0.000 0.000 0.000
2 Fe 0.500 0.500 0.500
3 Ag 0.500 0.500 0.000
4 I 0.000 0.500 0.500
5 I 0.500 0.000 0.500

Values from the calculation:
ΔE_f (raw)   25.36 kcal/mol of atoms